# 1
The following is a DFT calculation (PBE) of a relaxed LiBiIr crystal.

Output
The calculation puts the formation energy from the elements at -0.088 eV per atom. The crystal system is monoclinic. As for the final energy: -59.684 eV/cell. As for the density of states at the Fermi level: 4.2 states/eV per cell. Its volume is 223.0 Å³ per cell.

abc: 9.0581 3.5253 7.1884
angles: 90.00 103.74 90.00
Space group Cm (No. 8)
One atom of each set of equivalent atoms:
Li: 0.0000 0.0000 0.0000 (multiplicity 2)
Li: 0.2098 0.0000 0.4879 (multiplicity 2)
Bi: 0.0363 0.5000 0.6859 (multiplicity 2)
Bi: 0.2497 0.5000 0.1759 (multiplicity 2)
Ir: 0.2707 0.0000 0.8783 (multiplicity 2)
Ir: 0.4831 0.0000 0.2912 (multiplicity 2)

# 2
The following is a DFT calculation (PBE) of a relaxed LaP2SeCl crystal.

Output
As for the raw formation energy: 33.4 kJ/mol of atoms. The crystal system is tetragonal. As for the final energy: -19.349 eV/cell. As for the density of states at the Fermi level: 5.6 states/eV per cell. Its volume is 180.6 Å³ per cell.

abc: 5.8121 5.8121 5.3468
angles: 90.00 90.00 90.00
Space group P4/mmm (No. 123)
One atom of each set of equivalent atoms:
La: 0.0000 0.0000 0.0000 (multiplicity 1)
P: 0.0000 0.5000 0.0000 (multiplicity 2)
Se: 0.5000 0.5000 0.5000 (multiplicity 1)
Cl: 0.0000 0.0000 0.5000 (multiplicity 1)

# 3
The following is a DFT calculation (PBE) of a relaxed MnNb3Zn crystal.

Output
The calculation puts the formation energy from the elements at 1.676 eV per atom. The crystal system is cubic. As for the final energy: -32.274 eV/cell. As for the density of states at the Fermi level: 10.6 states/eV per cell. Its volume is 101.3 Å³ per cell.

abc: 4.6613 4.6613 4.6613
angles: 90.00 90.00 90.00
Space group Pm-3m (No. 221)
One atom of each set of equivalent atoms:
Mn: 0.0000 0.0000 0.0000 (multiplicity 1)
Nb: 0.0000 0.5000 0.5000 (multiplicity 3)
Zn: 0.5000 0.5000 0.5000 (multiplicity 1)

| no. | magnetization (μB/atom) |
| --- | --- |
| 1 | 0.00 |
| 2 | 0.24 |
| 3 | 0.16 |